KLiBe2 after structural relaxation. Source: Alexandria via LeMat-Bulk, functional GGA-PBE.

a b c (Å): 4.255 4.255 13.486
angles (deg): 81.82 81.65 60.06
Fractional coordinates of all 8 atoms:
Be (0.018, 0.512, 0.479)
Be (0.002, 0.999, 0.523)
Be (0.515, 0.512, 0.479)
Be (0.515, 0.014, 0.479)
Li (0.057, 0.050, 0.354)
Li (0.631, 0.629, 0.638)
K (0.792, 0.781, 0.150)
K (0.229, 0.231, 0.844)

Summary:
- Energy above the most stable polymorph in this dataset: 54 meV per atom
- E: -2.387 eV/atom
- ΔH_f (0 K): 22.1 kJ/mol of atoms
- Calculated density: 1.02 g/cm³
- Spin magnetization: 0.000 μB per formula unit

---

Nd2NiSb4Ir3 after structural relaxation. Source: Alexandria via LeMat-Bulk, functional GGA-PBE.

a b c (Å): 4.556 4.556 10.457
angles (deg): 90.00 90.00 90.00
Fractional coordinates of all 10 atoms:
Sb (0.500, 0.000, 0.627)
Sb (0.000, 0.000, 0.000)
Sb (0.500, 0.500, 0.000)
Sb (0.000, 0.500, 0.373)
Nd (0.000, 0.500, 0.739)
Nd (0.500, 0.000, 0.261)
Ir (0.500, 0.000, 0.875)
Ir (0.000, 0.500, 0.125)
Ir (0.000, 0.000, 0.500)
Ni (0.500, 0.500, 0.500)

Summary:
- E: -6.436 eV/atom
- Formation energy without anion corrections: -598 meV/atom
- Calculated density: 10.79 g/cm³
- Spin magnetization: 0.000 μB per formula unit

---

ScCuP2 after structural relaxation. Source: Alexandria via LeMat-Bulk, functional GGA-PBE.

a b c (Å): 3.563 3.563 5.186
angles (deg): 90.00 90.00 90.00
Fractional coordinates of all 4 atoms:
Cu (0.500, 0.500, 0.832)
P (0.000, 0.000, 0.920)
P (0.500, 0.500, 0.316)
Sc (0.000, 0.000, 0.432)

Summary:
- E: -5.793 eV/atom
- ΔH_f (0 K): -46.5 kJ/mol of atoms
- Calculated density: 4.30 g/cm³
- Spin magnetization: 0.000 μB per formula unit

---

Li2LaSeN after structural relaxation. Source: Alexandria via LeMat-Bulk, functional GGA-PBE.

a b c (Å): 4.335 4.335 4.830
angles (deg): 90.00 90.00 90.00
Fractional coordinates of all 5 atoms:
La (0.000, 0.000, 0.500)
Li (0.000, 0.500, 0.000)
Li (0.500, 0.000, 0.000)
Se (0.500, 0.500, 0.500)
N (0.000, 0.000, 0.000)

Summary:
- E: -5.245 eV/atom
- Formation energy without anion corrections: -1132 meV/atom
- Calculated density: 4.50 g/cm³
- Spin magnetization: 0.155 μB per formula unit

---

CsCaAu2Se after structural relaxation. Source: Alexandria via LeMat-Bulk, functional GGA-PBE.

a b c (Å): 5.327 6.206 5.327
angles (deg): 90.00 90.00 90.00
Fractional coordinates of all 5 atoms:
Cs (0.000, 0.500, 0.000)
Au (0.000, 0.000, 0.500)
Au (0.500, 0.000, 0.000)
Ca (0.500, 0.500, 0.500)
Se (0.000, 0.000, 0.000)

Summary:
- E: -2.446 eV/atom
- Formation energy without anion corrections: 133 meV/atom
- Calculated density: 6.09 g/cm³
- Spin magnetization: 0.000 μB per formula unit

---

PrTiHg2 after structural relaxation. Source: Alexandria via LeMat-Bulk, functional GGA-PBE.

a b c (Å): 5.168 5.168 5.168
angles (deg): 60.00 60.00 60.00
Fractional coordinates of all 4 atoms:
Hg (0.750, 0.750, 0.750)
Hg (0.250, 0.250, 0.250)
Pr (0.000, 0.000, 0.000)
Ti (0.500, 0.500, 0.500)

Summary:
- Energy above the most stable polymorph in this dataset: 28 meV per atom
- E: -3.454 eV/atom
- ΔH_f (0 K): -12.9 kJ/mol of atoms
- Calculated density: 10.04 g/cm³
- Spin magnetization: 1.812 μB per formula unit

---

Tb2Pm4Tm5 after structural relaxation. Source: Alexandria via LeMat-Bulk, functional GGA-PBE.

a b c (Å): 5.729 6.395 10.088
angles (deg): 92.96 106.50 90.00
Fractional coordinates of all 11 atoms:
Pm (0.970, 0.729, 0.940)
Pm (0.030, 0.271, 0.060)
Pm (0.306, 0.927, 0.612)
Pm (0.694, 0.073, 0.388)
Tm (0.868, 0.130, 0.737)
Tm (0.500, 0.000, 0.000)
Tm (0.788, 0.602, 0.576)
Tm (0.212, 0.398, 0.424)
Tm (0.132, 0.870, 0.263)
Tb (0.401, 0.451, 0.803)
Tb (0.599, 0.549, 0.197)

Summary:
- E: -4.496 eV/atom
- ΔH_f (0 K): 10.2 kJ/mol of atoms
- Calculated density: 8.18 g/cm³
- Spin magnetization: 0.000 μB per formula unit

---

BaMnAs after structural relaxation. Source: Alexandria via LeMat-Bulk, functional GGA-PBE.

a b c (Å): 3.972 3.972 10.422
angles (deg): 90.00 90.00 90.00
Fractional coordinates of all 6 atoms:
Mn (0.000, 0.000, 0.000)
Mn (0.500, 0.500, 0.000)
As (0.500, 0.000, 0.862)
As (0.000, 0.500, 0.138)
Ba (0.000, 0.500, 0.705)
Ba (0.500, 0.000, 0.295)

Summary:
- E: -5.776 eV/atom
- ΔH_f (0 K): -51.0 kJ/mol of atoms
- Calculated density: 5.40 g/cm³
- Spin magnetization: 1.918 μB per formula unit

---

HoCrC after structural relaxation. Source: Alexandria via LeMat-Bulk, functional GGA-PBE.

a b c (Å): 3.488 3.488 4.051
angles (deg): 90.00 90.00 120.00
Fractional coordinates of all 3 atoms:
Ho (0.000, 0.000, 0.000)
Cr (0.667, 0.333, 0.500)
C (0.333, 0.667, 0.500)

Summary:
- Energy above the most stable polymorph in this dataset: 118 meV per atom
- E: -7.639 eV/atom
- ΔH_f (0 K): 16.3 kJ/mol of atoms
- Calculated density: 8.91 g/cm³
- Spin magnetization: 0.002 μB per formula unit

---

Tb2DyPuS4 after structural relaxation. Source: Alexandria via LeMat-Bulk, functional GGA-PBE.

a b c (Å): 3.915 6.810 6.809
angles (deg): 109.24 90.00 90.00
Fractional coordinates of all 8 atoms:
S (0.500, 0.248, 0.249)
S (0.500, 0.752, 0.751)
S (0.000, 0.248, 0.749)
S (0.000, 0.752, 0.251)
Pu (0.500, 0.500, 0.000)
Tb (0.000, 0.500, 0.500)
Tb (0.500, 0.000, 0.500)
Dy (0.000, 0.000, 0.000)

Summary:
- E: -7.556 eV/atom
- Formation energy without anion corrections: -1968 meV/atom
- Calculated density: 8.26 g/cm³
- Spin magnetization: 5.787 μB per formula unit

---

LaSm2Ag2Ge2 after structural relaxation. Source: Alexandria via LeMat-Bulk, functional GGA-PBE.

a b c (Å): 4.620 4.620 9.785
angles (deg): 76.35 76.35 60.00
Fractional coordinates of all 7 atoms:
Ge (0.258, 0.258, 0.225)
Ge (0.742, 0.742, 0.775)
La (0.000, 0.000, 0.000)
Ag (0.405, 0.405, 0.786)
Ag (0.595, 0.595, 0.214)
Sm (0.871, 0.871, 0.386)
Sm (0.129, 0.129, 0.614)

Summary:
- E: -4.639 eV/atom
- ΔH_f (0 K): -43.7 kJ/mol of atoms
- Calculated density: 7.64 g/cm³
- Spin magnetization: 0.000 μB per formula unit

---

Pr4SmTh3Se8 after structural relaxation. Source: Alexandria via LeMat-Bulk, functional GGA-PBE.

a b c (Å): 8.421 8.495 8.420
angles (deg): 119.71 120.00 90.00
Fractional coordinates of all 16 atoms:
Se (0.751, 0.745, 0.998)
Se (0.749, 0.748, 0.499)
Se (0.753, 0.255, 0.002)
Se (0.249, 0.255, 0.002)
Se (0.247, 0.745, 0.998)
Se (0.753, 0.255, 0.505)
Se (0.247, 0.745, 0.495)
Se (0.251, 0.252, 0.501)
Pr (0.000, 0.000, 0.000)
Pr (0.000, 0.000, 0.500)
Pr (0.500, 0.000, 0.000)
Pr (0.500, 0.000, 0.500)
Th (0.500, 0.500, 0.500)
Th (0.000, 0.500, 0.500)
Th (0.500, 0.500, 0.000)
Sm (0.000, 0.500, 0.000)

Summary:
- E: -6.345 eV/atom
- Formation energy without anion corrections: -1722 meV/atom
- Calculated density: 7.93 g/cm³
- Spin magnetization: 0.000 μB per formula unit

---

Q: calculated density of number 3 (ScCuP2)?
A: 4.30 g/cm³